No. 1
Sc2CrCd: optimized geometry, GGA-PBEsol.

Values from the calculation:
Its space-group type is P4/mmm (123). Its total DFT energy (no corrections) is -24.7 eV/f.u.

abc: 3.2144 3.2144 7.3649
angles: 90.00 90.00 90.00
Site moments in Bohr magnetons follow the coordinates.
Atoms (fractional coordinates):
Cd (0.5000, 0.5000, 0.0000)  0.00
Sc (0.0000, 0.0000, 0.2810)  -0.05
Sc (0.0000, 0.0000, 0.7190)  -0.05
Cr (0.5000, 0.5000, 0.5000)  2.24


No. 2
Sc3CrCd: optimized geometry, GGA-PBEsol.

Values from the calculation:
Its space-group type is Pm-3m (221). Its total DFT energy (no corrections) is -26.4 eV/f.u.

abc: 5.1980 5.1980 5.1980
angles: 90.00 90.00 90.00
Site moments in Bohr magnetons follow the coordinates.
Atoms (fractional coordinates):
Cr (0.5000, 0.5000, 0.5000)  4.03
Cd (0.0000, 0.0000, 0.0000)  0.05
Sc (0.5000, 0.0000, 0.0000)  0.22
Sc (0.0000, 0.0000, 0.5000)  0.22
Sc (0.0000, 0.5000, 0.0000)  0.22


No. 3
Sc2CrCd: optimized geometry, GGA-PBEsol.

Values from the calculation:
Its space-group type is Cm (8). Its total DFT energy (no corrections) is -24.1 eV/f.u.

abc: 3.2397 4.8864 5.4588
angles: 107.13 107.26 90.00
Site moments in Bohr magnetons follow the coordinates.
Atoms (fractional coordinates):
Sc (0.7613, 0.2807, 0.5226)  -0.17
Sc (0.9826, 0.9549, 0.9652)  -0.18
Cr (0.2401, 0.7800, 0.4803)  2.93
Cd (0.5160, 0.4845, 0.0320)  -0.02


No. 4
ScCr2Cd: optimized geometry, GGA-PBEsol.

Values from the calculation:
Its space-group type is Immm (71). Its total DFT energy (no corrections) is -25.9 eV/f.u.

abc: 3.4310 4.1407 5.1233
angles: 113.84 109.56 90.00
Atoms (fractional coordinates):
Cd (0.0000, 0.5000, 0.0000)
Sc (0.5000, 0.0000, 0.0000)
Cr (0.2482, 0.2482, 0.4963)
Cr (0.7518, 0.7518, 0.5037)


No. 5
Cr2CdSe4: optimized geometry, GGA-PBEsol.

Values from the calculation:
The calculation puts the energy relative to the elements, uncorrected at -497 meV/atom. Its space-group type is Fd-3m (227).

abc: 7.5496 7.5496 7.5496
angles: 60.00 60.00 60.00
Site moments in Bohr magnetons follow the coordinates.
Atoms (fractional coordinates):
Se (0.3905, 0.8286, 0.3905)  -0.09
Se (0.8595, 0.8595, 0.4214)  -0.09
Se (0.8595, 0.4214, 0.8595)  -0.09
Se (0.8595, 0.8595, 0.8595)  -0.09
Se (0.3905, 0.3905, 0.8286)  -0.09
Se (0.3905, 0.3905, 0.3905)  -0.09
Se (0.8286, 0.3905, 0.3905)  -0.09
Se (0.4214, 0.8595, 0.8595)  -0.09
Cd (0.2500, 0.2500, 0.2500)  0.02
Cd (0.0000, 0.0000, 0.0000)  0.02
Cr (0.1250, 0.6250, 0.6250)  2.96
Cr (0.6250, 0.6250, 0.6250)  2.96
Cr (0.6250, 0.6250, 0.1250)  2.96
Cr (0.6250, 0.1250, 0.6250)  2.96


No. 6
Cr3CdSe: optimized geometry, GGA-PBEsol.

Values from the calculation:
The calculation puts the energy relative to the elements, uncorrected at 826 meV/atom. Its space-group type is Pm-3m (221).

abc: 4.4900 4.4900 4.4900
angles: 90.00 90.00 90.00
Site moments in Bohr magnetons follow the coordinates.
Atoms (fractional coordinates):
Se (0.0000, 0.0000, 0.0000)  -0.10
Cr (0.0000, 0.0000, 0.5000)  2.72
Cr (0.5000, 0.0000, 0.0000)  2.72
Cr (0.0000, 0.5000, 0.0000)  2.72
Cd (0.5000, 0.5000, 0.5000)  -0.08


no.,D(E_F) (states/eV/cell),magnetic moment (Bohr magnetons per cell)
1,3.2,2.32
2,7.8,6.28
3,3.2,2.65
4,5.3,0.00
5,3.7,11.99
6,4.0,8.38